1.
First-principles (GGA-PBE) data for an optimized crystal structure of Y2CuCl, as listed in the Alexandria database.

Structure (CIF):
```
data_Y2CuCl
_chemical_formula_sum 'Y2 Cu1 Cl1'
_symmetry_space_group_name_H-M 'P 1'
_symmetry_Int_Tables_number 1
_cell_length_a 5.023
_cell_length_b 5.023
_cell_length_c 5.023
_cell_angle_alpha 60.00
_cell_angle_beta 60.00
_cell_angle_gamma 60.00
loop_
_symmetry_equiv_pos_as_xyz
'x,y,z'
loop_
_atom_site_label
_atom_site_type_symbol
_atom_site_fract_x
_atom_site_fract_y
_atom_site_fract_z
Y1 Y 0.250 0.250 0.250
Y2 Y 0.750 0.750 0.750
Cu1 Cu 0.500 0.500 0.500
Cl1 Cl 0.000 0.000 0.000
```

Computed properties:
The value obtained for the density of states at the Fermi level is 5.701 states/eV/f.u. The space group is Fm-3m, No. 225. For the total magnetization, the calculation gives 0.00 μB per formula unit. The calculation puts the uncorrected energy at -20.627 eV per cell.

2.
First-principles (GGA-PBE) data for an optimized crystal structure of Li5Ag7, as listed in the Alexandria database.

Structure (CIF):
```
data_Li5Ag7
_chemical_formula_sum 'Li5 Ag7'
_symmetry_space_group_name_H-M 'P 1'
_symmetry_Int_Tables_number 1
_cell_length_a 4.073
_cell_length_b 6.407
_cell_length_c 9.108
_cell_angle_alpha 114.84
_cell_angle_beta 90.00
_cell_angle_gamma 108.54
loop_
_symmetry_equiv_pos_as_xyz
'x,y,z'
loop_
_atom_site_label
_atom_site_type_symbol
_atom_site_fract_x
_atom_site_fract_y
_atom_site_fract_z
Li1 Li 0.159 0.318 0.498
Li2 Li 0.841 0.682 0.502
Li3 Li 0.254 0.508 0.240
Li4 Li 0.746 0.492 0.760
Li5 Li 0.000 0.000 0.000
Ag1 Ag 0.409 0.817 0.742
Ag2 Ag 0.591 0.183 0.258
Ag3 Ag 0.917 0.834 0.250
Ag4 Ag 0.083 0.166 0.750
Ag5 Ag 0.664 0.328 0.003
Ag6 Ag 0.500 0.000 0.500
Ag7 Ag 0.336 0.672 0.997
```

Computed properties:
The value obtained for the density of states at the Fermi level is 4.268 states/eV/f.u. The space group is C2/m, No. 12. For the total magnetization, the calculation gives 0.00 μB per formula unit. The calculation puts the uncorrected energy at -31.516 eV per cell.

3.
First-principles (GGA-PBE) data for an optimized crystal structure of MgSi2Os, as listed in the Alexandria database.

Structure (CIF):
```
data_MgSi2Os
_chemical_formula_sum 'Mg4 Si8 Os4'
_symmetry_space_group_name_H-M 'P 1'
_symmetry_Int_Tables_number 1
_cell_length_a 3.151
_cell_length_b 9.694
_cell_length_c 7.790
_cell_angle_alpha 90.00
_cell_angle_beta 90.00
_cell_angle_gamma 90.00
loop_
_symmetry_equiv_pos_as_xyz
'x,y,z'
loop_
_atom_site_label
_atom_site_type_symbol
_atom_site_fract_x
_atom_site_fract_y
_atom_site_fract_z
Mg1 Mg 0.000 0.454 0.250
Mg2 Mg 0.000 0.546 0.750
Mg3 Mg 0.500 0.954 0.250
Mg4 Mg 0.500 0.046 0.750
Si1 Si 0.000 0.134 0.029
Si2 Si 0.000 0.866 0.971
Si3 Si 0.000 0.134 0.471
Si4 Si 0.000 0.866 0.529
Si5 Si 0.500 0.634 0.029
Si6 Si 0.500 0.366 0.971
Si7 Si 0.500 0.634 0.471
Si8 Si 0.500 0.366 0.529
Os1 Os 0.000 0.725 0.250
Os2 Os 0.000 0.275 0.750
Os3 Os 0.500 0.225 0.250
Os4 Os 0.500 0.775 0.750
```

Computed properties:
The value obtained for the density of states at the Fermi level is 0.177 states/eV/f.u. The space group is Cmcm, No. 63. For the total magnetization, the calculation gives 0.00 μB per formula unit. The calculation puts the uncorrected energy at -100.003 eV per cell.